No. 1
Material: DyYSb2
Method: DFT, PBE
State: optimized geometry

Results
The value obtained for the polymorph energy (0 for the lowest one) is 72 meV/atom. The final energy is -5.904 eV per atom. As for the raw formation energy: -1077 meV/atom.

The structure in extended XYZ format:
```
8
Lattice="4.378 0.000 0.000 -2.189 3.792 0.000 0.000 0.000 14.455" Properties=species:S:1:pos:R:3 pbc="T T T"
Dy 0.000 0.000 7.228
Dy 0.000 0.000 0.000
Y 2.189 1.264 3.614
Y 0.000 2.528 10.842
Sb 0.000 2.528 5.459
Sb 2.189 1.264 12.686
Sb 2.189 1.264 8.997
Sb 0.000 2.528 1.769
```

No. 2
Material: Dy2YSb3
Method: DFT, PBE
State: optimized geometry

Results
The final energy is -5.816 eV per atom. As for the raw formation energy: -1144 meV/atom.

The structure in extended XYZ format:
```
6
Lattice="-3.458 -1.802 2.012 3.777 -3.897 3.001 0.430 7.199 2.399" Properties=species:S:1:pos:R:3 pbc="T T T"
Dy 0.337 -3.549 4.579
Dy 0.411 5.048 2.834
Y 0.374 0.750 3.707
Sb -1.552 -1.604 3.074
Sb 2.300 3.103 4.339
Sb -1.514 2.698 2.206
```